(1)
The following is a DFT calculation (PBE) of a relaxed structure of Ag5Au4.

Computed properties:
* crystal system: monoclinic
* space group: C2/m, No. 12

abc: 4.1286 6.6030 6.6030
angles: 84.44 71.19 71.19
With the nearest neighbours (Å) after each atom.
Element x y z (fractional)
Ag: 0.0000 0.0005 0.9995  6 Au 2.91-2.95, 6 Ag 2.91-2.96
Ag: 0.0000 0.3329 0.6671  6 Au 2.91-2.95, 6 Ag 2.91-2.96
Ag: 0.0000 0.6667 0.3333  8 Au 2.92-2.95, 4 Ag 2.94-2.96
Ag: 0.3338 0.3331 0.9998  6 Ag 2.91-2.95, 6 Au 2.93-2.95
Ag: 0.6662 0.0002 0.6669  6 Ag 2.91-2.95, 6 Au 2.93-2.95
Au: 0.3345 0.6661 0.6672  8 Ag 2.91-2.95, 4 Au 2.92-2.97
Au: 0.3345 0.0006 0.3328  8 Ag 2.91-2.95, 4 Au 2.92-2.97
Au: 0.6655 0.6672 0.9994  8 Ag 2.91-2.95, 4 Au 2.92-2.97
Au: 0.6655 0.3328 0.3339  8 Ag 2.91-2.95, 4 Au 2.92-2.97



(2)
The following is a DFT calculation (PBE) of a relaxed structure of Pm5Pa2S12.

Computed properties:
* crystal system: monoclinic
* space group: C2/m, No. 12
* uncorrected formation energy: -1.862 eV per atom

abc: 7.5135 8.6224 9.0928
angles: 105.68 90.00 115.83
With the nearest neighbours (Å) after each atom.
Element x y z (fractional)
Pm: 0.2930 0.5859 0.6349  7 S 2.86-3.08
Pm: 0.3110 0.6221 0.1789  7 S 2.85-3.07
Pm: 0.0000 0.0000 0.5000  6 S 2.74-2.91
Pm: 0.6890 0.3779 0.8211  7 S 2.85-3.07
Pm: 0.7070 0.4141 0.3651  7 S 2.86-3.08
Pa: 0.7456 0.0000 0.0000  6 S 2.62-2.70
Pa: 0.2544 0.0000 0.0000  6 S 2.62-2.70
S: 0.9915 0.9830 0.1942  2 Pa 2.63, 1 Pm 2.74
S: 0.0949 0.6469 0.9065  1 Pa 2.62, 2 Pm 2.85-2.93
S: 0.5520 0.6469 0.9065  1 Pa 2.62, 2 Pm 2.85-2.93
S: 0.1037 0.7025 0.4356  4 Pm 2.86-2.92
S: 0.5988 0.7025 0.4356  4 Pm 2.86-2.92
S: 0.4992 0.9983 0.7823  2 Pa 2.70, 1 Pm 2.86
S: 0.5008 0.0017 0.2177  2 Pa 2.70, 1 Pm 2.86
S: 0.8963 0.2975 0.5644  4 Pm 2.86-2.92
S: 0.4012 0.2975 0.5644  4 Pm 2.86-2.92
S: 0.9051 0.3531 0.0935  1 Pa 2.62, 2 Pm 2.85-2.93
S: 0.4480 0.3531 0.0935  1 Pa 2.62, 2 Pm 2.85-2.93
S: 0.0085 0.0170 0.8058  2 Pa 2.63, 1 Pm 2.74



(3)
The following is a DFT calculation (PBE) of a relaxed structure of Sr2NiIr.

Computed properties:
* crystal system: monoclinic
* space group: P2/m, No. 10

abc: 3.8636 3.4756 7.8631
angles: 63.88 90.00 90.00
With the nearest neighbours (Å) after each atom.
Element x y z (fractional)
Ir: 0.5000 0.2500 0.2500  8 Sr 3.12, 2 Ir 3.48
Ni: 0.5000 0.7500 0.7500  8 Sr 3.16-3.17, 2 Ni 3.48, 2 Ir 3.53
Sr: 0.0000 0.9935 0.0052  4 Ir 3.12, 4 Ni 3.16-3.17, 3 Sr 3.46-3.48
Sr: 0.0000 0.5065 0.4948  4 Ir 3.12, 4 Ni 3.16-3.17, 3 Sr 3.46-3.48



(4)
The following is a DFT calculation (PBE) of a relaxed structure of BaSi3.

Computed properties:
* crystal system: cubic
* space group: Pm-3m, No. 221
* uncorrected formation energy: 0.408 eV per atom

abc: 4.5085 4.5085 4.5085
angles: 90.00 90.00 90.00
With the nearest neighbours (Å) after each atom.
Element x y z (fractional)
Ba: 0.0000 0.0000 0.0000  12 Si 3.19
Si: 0.0000 0.5000 0.5000  4 Ba 3.19, 8 Si 3.19
Si: 0.5000 0.0000 0.5000  4 Ba 3.19, 8 Si 3.19
Si: 0.5000 0.5000 0.0000  8 Si 3.19, 4 Ba 3.19



(5)
The following is a DFT calculation (PBE) of a relaxed structure of Mg2Zn5Cu2Ni.

Computed properties:
* crystal system: tetragonal
* space group: P4/mbm, No. 127

abc: 3.4768 9.3296 9.3296
angles: 90.00 90.00 90.00
With the nearest neighbours (Å) after each atom.
Element x y z (fractional)
Mg: 0.0000 0.6720 0.1720  3 Cu 2.62-2.84, 2 Zn 2.86
Mg: 0.0000 0.3280 0.8280  3 Cu 2.62-2.84, 2 Zn 2.86
Mg: 0.0000 0.1720 0.3280  3 Cu 2.62-2.84, 2 Zn 2.86
Mg: 0.0000 0.8280 0.6720  3 Cu 2.62-2.84, 2 Zn 2.86
Zn: 0.5000 0.1913 0.0607  2 Cu 2.50, 2 Ni 2.55, 2 Zn 2.65
Zn: 0.5000 0.8087 0.9393  2 Cu 2.50, 2 Ni 2.55, 2 Zn 2.65
Zn: 0.5000 0.0607 0.8087  2 Cu 2.50, 2 Ni 2.55, 2 Zn 2.65
Zn: 0.5000 0.6913 0.4393  2 Cu 2.50, 2 Ni 2.55, 2 Zn 2.65
Zn: 0.5000 0.9393 0.1913  2 Cu 2.50, 2 Ni 2.55, 2 Zn 2.65
Zn: 0.5000 0.3087 0.5607  2 Cu 2.50, 2 Ni 2.55, 2 Zn 2.65
Zn: 0.5000 0.5607 0.6913  2 Cu 2.50, 2 Ni 2.55, 2 Zn 2.65
Zn: 0.5000 0.4393 0.3087  2 Cu 2.50, 2 Ni 2.55, 2 Zn 2.65
Zn: 0.5000 0.5000 0.0000  4 Cu 2.43
Zn: 0.5000 0.0000 0.5000  4 Cu 2.43
Cu: 0.0000 0.1292 0.6292  6 Zn 2.43-2.50, 1 Mg 2.62
Cu: 0.0000 0.8708 0.3708  6 Zn 2.43-2.50, 1 Mg 2.62
Cu: 0.0000 0.6292 0.8708  6 Zn 2.43-2.50, 1 Mg 2.62
Cu: 0.0000 0.3708 0.1292  6 Zn 2.43-2.50, 1 Mg 2.62
Ni: 0.0000 0.0000 0.0000  8 Zn 2.55
Ni: 0.0000 0.5000 0.5000  8 Zn 2.55



(6)
The following is a DFT calculation (PBE) of a relaxed structure of TlNiOs.

Computed properties:
* crystal system: tetragonal
* space group: I4mm, No. 107

abc: 5.8995 5.8995 5.8995
angles: 150.99 150.99 41.49
With the nearest neighbours (Å) after each atom.
Element x y z (fractional)
Ni: 0.9839 0.9839 0.0000  4 Os 2.53
Os: 0.3548 0.3548 0.0000  4 Ni 2.53
Tl: 0.6613 0.6613 0.0000  4 Ni 2.86, 4 Tl 2.96, 4 Os 2.99



(7)
The following is a DFT calculation (PBE) of a relaxed structure of Er3InAu.

Computed properties:
* crystal system: monoclinic
* space group: C2/c, No. 15

abc: 7.9787 7.9787 11.0697
angles: 87.87 87.87 50.21
With the nearest neighbours (Å) after each atom.
Element x y z (fractional)
Er: 0.8466 0.7854 0.8303  2 Au 2.81-2.93
Er: 0.2146 0.1534 0.6697  2 Au 2.81-2.93
Er: 0.1534 0.2146 0.1697  2 Au 2.81-2.93
Er: 0.7854 0.8466 0.3303  2 Au 2.81-2.93
Er: 0.6497 0.5853 0.6652  2 Au 2.98-3.07, 2 In 3.17-3.24
Er: 0.4147 0.3503 0.8348  2 Au 2.98-3.07, 2 In 3.17-3.24
Er: 0.3503 0.4147 0.3348  2 Au 2.98-3.07, 2 In 3.17-3.24
Er: 0.5853 0.6497 0.1652  2 Au 2.98-3.07, 2 In 3.17-3.24
Er: 0.2589 0.8477 0.9172  2 Au 2.96-3.04, 1 In 3.16
Er: 0.1523 0.7411 0.5828  2 Au 2.96-3.04, 1 In 3.16
Er: 0.8477 0.2589 0.4172  2 Au 2.96-3.04, 1 In 3.16
Er: 0.7411 0.1523 0.0828  2 Au 2.96-3.04, 1 In 3.16
In: 0.8649 0.3956 0.9223  1 Au 2.92, 4 Er 3.15-3.24
In: 0.6044 0.1351 0.5777  1 Au 2.92, 4 Er 3.15-3.24
In: 0.1351 0.6044 0.0777  1 Au 2.92, 4 Er 3.15-3.24
In: 0.3956 0.8649 0.4223  1 Au 2.92, 4 Er 3.15-3.24
Au: 0.0000 0.5000 0.5000  6 Er 2.81-3.04
Au: 0.5000 0.0000 0.0000  6 Er 2.81-3.04
Au: 0.1121 0.8879 0.2500  2 In 2.92, 6 Er 2.93-3.07
Au: 0.8879 0.1121 0.7500  2 In 2.92, 6 Er 2.93-3.07



(8)
The following is a DFT calculation (PBE) of a relaxed structure of Dy2ScH.

Computed properties:
* crystal system: tetragonal
* space group: P4/mmm, No. 123

abc: 3.2641 3.2641 8.1488
angles: 90.00 90.00 90.00
With the nearest neighbours (Å) after each atom.
Element x y z (fractional)
Sc: 0.5000 0.5000 0.5000  4 Sc 3.26, 8 Dy 3.38
H: 0.5000 0.5000 0.0000  8 Dy 2.81
Dy: 0.0000 0.0000 0.8023  4 H 2.81
Dy: 0.0000 0.0000 0.1977  4 H 2.81



no.,E (eV per atom)
1,-3.077
2,-6.718
3,-4.302
4,-4.140
5,-2.447
6,-5.757
7,-4.358
8,-4.626